(1)
Entry from Alexandria: LiZrAs2 after structural relaxation (PBE).

Energy relative to the lowest polymorph listed for this composition in eV per formula unit: 0.58
Calculated volume in Å³/cell: 76.57
DFT total energy in eV for the cell shown: -22.4
Formation energy from the elements in meV/atom: -665

Lattice parameters (Å, degrees): 3.217 3.217 7.622 90.00 90.00 103.92
Atoms (fractional coordinates):
As (0.000, 0.000, 0.503)
As (0.000, 0.000, 0.997)
Zr (0.500, 0.500, 0.750)
Li (0.500, 0.500, 0.250)



(2)
Entry from Alexandria: Ho6MnGe2S14 after structural relaxation (PBE).

ΔE_f (raw) in eV/atom: -1.491
Calculated volume in Å³/cell: 484.80
DFT total energy in eV for the cell shown: -137.9

Lattice parameters (Å, degrees): 9.726 9.726 5.917 90.00 90.00 120.00
Each line ends with the local moment (μB).
Atoms (fractional coordinates):
S (0.480, 0.917, 0.026)  0.03
S (0.232, 0.816, 0.508)  0.03
S (0.813, 0.241, 0.718)  0.00
S (0.083, 0.564, 0.026)  0.03
S (0.667, 0.333, 0.255)  0.00
S (0.000, 0.000, 0.746)  0.00
S (0.239, 0.145, 0.210)  0.01
S (0.184, 0.416, 0.508)  0.03
S (0.855, 0.094, 0.210)  0.01
S (0.759, 0.572, 0.718)  0.00
S (0.436, 0.520, 0.026)  0.03
S (0.584, 0.768, 0.508)  0.03
S (0.906, 0.761, 0.210)  0.01
S (0.428, 0.187, 0.718)  0.00
Ho (0.691, 0.809, 0.948)  0.03
Ho (0.117, 0.309, 0.948)  0.03
Ho (0.553, 0.027, 0.455)  0.02
Ho (0.973, 0.525, 0.455)  0.02
Ho (0.191, 0.883, 0.948)  0.03
Ho (0.475, 0.447, 0.455)  0.02
Ge (0.667, 0.333, 0.880)  0.00
Ge (0.000, 0.000, 0.371)  0.00
Mn (0.333, 0.667, 0.256)  4.13